Entry 1:
# AcYSiRh

A relaxed structure of AcYSiRh (PBE, Alexandria via LeMat-Bulk).

The structure in POSCAR format:
```
AcYSiRh
1.0
5.162 0.000 0.000
2.581 4.470 0.000
2.581 1.490 4.214
Y Ac Rh Si
1 1 1 1
Direct
0.250 0.250 0.250
0.750 0.750 0.750
0.000 0.000 0.000
0.500 0.500 0.500
```

Total energy ... -6.2995 eV/atom
SG ... No. 216

Entry 2:
# K4SnBi3Se8

A relaxed structure of K4SnBi3Se8 (PBE, Alexandria via LeMat-Bulk).

The structure in POSCAR format:
```
K4SnBi3Se8
1.0
8.582 0.000 0.000
0.000 9.211 0.435
-4.291 -4.290 6.071
K Sn Bi Se
4 1 3 8
Direct
0.500 0.000 0.000
0.500 0.000 0.500
0.000 0.000 0.000
0.000 0.000 0.500
0.000 0.500 0.000
0.500 0.500 0.000
0.500 0.500 0.500
0.000 0.500 0.500
0.234 0.709 0.976
0.234 0.709 0.468
0.262 0.286 0.524
0.742 0.709 0.976
0.258 0.291 0.024
0.738 0.714 0.476
0.766 0.291 0.532
0.766 0.291 0.024
```

Total energy ... -3.7741 eV/atom
SG ... No. 166

Entry 3:
# RbZnAgAu

A relaxed structure of RbZnAgAu (PBE, Alexandria via LeMat-Bulk).

The structure in POSCAR format:
```
RbZnAgAu
1.0
4.702 0.000 0.000
-2.351 4.010 -0.016
0.000 -2.690 6.234
Rb Zn Ag Au
1 1 1 1
Direct
0.618 0.236 0.497
0.114 0.228 0.982
0.804 0.608 0.052
0.430 0.861 0.936
```

Total energy ... -2.2424 eV/atom
SG ... No. 8
ΔH_f (0 K) ... -58 kJ/mol of formula units

Entry 4:
# Al2Pd5

A relaxed structure of Al2Pd5 (PBE, Alexandria via LeMat-Bulk).

The structure in POSCAR format:
```
Al2Pd5
1.0
-0.569 4.039 2.071
-6.485 -2.213 2.535
3.801 -4.025 3.843
Al Pd
4 10
Direct
0.210 0.401 0.827
0.383 0.099 0.173
0.790 0.599 0.173
0.617 0.901 0.827
0.317 0.448 0.240
0.077 0.052 0.760
0.101 0.681 0.566
0.536 0.819 0.434
0.899 0.319 0.434
0.464 0.181 0.566
0.923 0.948 0.240
0.683 0.552 0.760
0.739 0.250 0.000
0.261 0.750 0.000
```

Total energy ... -5.4456 eV/atom
Relative energy among the computed polymorphs ... 2.1 kJ per mole of atoms
SG ... No. 15
ΔH_f (0 K) ... -451 kJ/mol of formula units

Entry 5:
# EuTl6

A relaxed structure of EuTl6 (PBE, Alexandria via LeMat-Bulk).

The structure in POSCAR format:
```
EuTl6
1.0
7.293 0.000 0.000
-2.431 6.876 0.000
-2.431 -3.438 5.955
Eu Tl
1 6
Direct
0.000 0.000 0.000
0.250 0.750 0.500
0.500 0.750 0.250
0.250 0.500 0.750
0.750 0.250 0.500
0.500 0.250 0.750
0.750 0.500 0.250
```

Total energy ... -3.2165 eV/atom
SG ... No. 229
ΔH_f (0 K) ... 189 kJ/mol of formula units

Entry 6:
# TiAlGa2

A relaxed structure of TiAlGa2 (PBE, Alexandria via LeMat-Bulk).

The structure in POSCAR format:
```
TiAlGa2
1.0
3.984 0.000 0.000
1.992 3.450 0.000
1.992 1.150 5.339
Ti Al Ga
1 1 2
Direct
0.673 0.673 0.980
0.492 0.492 0.525
0.084 0.084 0.749
0.251 0.251 0.246
```

Total energy ... -4.5031 eV/atom
SG ... No. 160
ΔH_f (0 K) ... -31 kJ/mol of formula units

Entry 7:
# Dy2Th2Hg7

A relaxed structure of Dy2Th2Hg7 (PBE, Alexandria via LeMat-Bulk).

The structure in POSCAR format:
```
Dy2Th2Hg7
1.0
-6.532 3.113 4.044
0.048 -4.602 1.062
5.582 -0.787 6.077
Dy Th Hg
2 2 7
Direct
0.758 0.479 0.242
0.242 0.521 0.758
0.774 0.500 0.774
0.226 0.500 0.226
0.928 0.162 0.582
0.582 0.838 0.928
0.072 0.838 0.418
0.418 0.162 0.072
0.000 0.000 0.000
0.584 0.825 0.416
0.416 0.175 0.584
```

Total energy ... -2.5993 eV/atom
SG ... No. 12
ΔH_f (0 K) ... -235 kJ/mol of formula units

Entry 8:
# RbSiB

A relaxed structure of RbSiB (PBE, Alexandria via LeMat-Bulk).

The structure in POSCAR format:
```
RbSiB
1.0
-4.575 5.909 6.943
2.072 -1.835 2.272
3.634 4.143 -0.492
Si B Rb
2 2 2
Direct
0.468 0.464 0.803
0.532 0.536 0.197
0.475 0.949 0.642
0.525 0.051 0.358
0.774 0.061 0.785
0.226 0.939 0.215
```

Total energy ... -4.0852 eV/atom
SG ... No. 2

Entry 9:
# PaSbAu

A relaxed structure of PaSbAu (PBE, Alexandria via LeMat-Bulk).

The structure in POSCAR format:
```
PaSbAu
1.0
7.112 -2.200 0.000
-3.376 6.636 0.000
-1.868 -2.218 8.489
Pa Sb Au
4 4 4
Direct
0.805 0.195 0.000
0.055 0.945 0.500
0.195 0.805 0.000
0.445 0.555 0.500
0.903 0.903 0.807
0.097 0.097 0.193
0.153 0.653 0.307
0.347 0.847 0.693
0.625 0.375 0.750
0.125 0.375 0.750
0.625 0.875 0.250
0.625 0.375 0.250
```

Total energy ... -5.6073 eV/atom
SG ... No. 70

Entry 10:
# Ga2MoRu

A relaxed structure of Ga2MoRu (PBE, Alexandria via LeMat-Bulk).

The structure in POSCAR format:
```
Ga2MoRu
1.0
-4.228 4.116 -3.617
-1.920 -5.391 -3.892
-5.071 -1.172 -2.029
Ru Mo Ga
2 2 4
Direct
0.000 0.000 0.000
0.750 0.250 0.500
0.500 0.500 0.000
0.250 0.750 0.500
0.639 0.125 0.250
0.111 0.625 0.250
0.375 0.361 0.750
0.875 0.889 0.750
```

Total energy ... -6.2001 eV/atom
Relative energy among the computed polymorphs ... 39.9 kJ per mole of atoms
SG ... No. 122
ΔH_f (0 K) ... 131 kJ/mol of formula units

Entry 11:
# Zn2Os

A relaxed structure of Zn2Os (PBE, Alexandria via LeMat-Bulk).

The structure in POSCAR format:
```
Zn2Os
1.0
-2.863 3.091 -0.780
1.835 -2.092 -3.259
-1.942 -1.785 0.053
Os Zn
1 2
Direct
0.000 0.000 0.000
0.333 0.667 0.500
0.667 0.333 0.500
```

Total energy ... -4.4289 eV/atom
SG ... No. 191
ΔH_f (0 K) ... 47 kJ/mol of formula units

Entry 12:
# TlRh4

A relaxed structure of TlRh4 (PBE, Alexandria via LeMat-Bulk).

The structure in POSCAR format:
```
TlRh4
1.0
-1.697 -4.064 1.911
0.677 -3.360 3.362
-3.667 0.470 5.775
Tl Rh
1 4
Direct
0.000 0.000 0.500
0.391 0.391 0.920
0.808 0.808 0.289
0.192 0.192 0.711
0.609 0.609 0.080
```

Total energy ... -6.2061 eV/atom
Relative energy among the computed polymorphs ... 3.8 kJ per mole of atoms
SG ... No. 12
ΔH_f (0 K) ... 72 kJ/mol of formula units